Entry 1:
! Ti6Ir5Rh (PBE, relaxed); values from VASP
! Volume (Å³ per atom): 15.1
! E_form (eV/f.u.): -10.0
! N(E_F) (states/eV/cell): 10.2
! Space group: C2/m
! Total magnetization (μB/cell): 0.000
&SYSTEM
  ibrav = 0, nat = 12, ntyp = 3
/
ATOMIC_SPECIES
Ir 192.22 Ir.upf
Rh 102.91 Rh.upf
Ti 47.87 Ti.upf
CELL_PARAMETERS angstrom
-1.160 3.381 -2.828
-5.172 0.520 2.744
-0.186 5.630 4.879
ATOMIC_POSITIONS crystal
Ir 0.692 0.170 0.659
Ir 0.304 0.329 0.343
Ir 0.000 0.500 0.000
Ir 0.696 0.671 0.657
Ir 0.308 0.830 0.341
Rh 0.000 0.000 0.000
Ti 0.811 0.585 0.329
Ti 0.811 0.086 0.329
Ti 0.500 0.749 0.000
Ti 0.500 0.251 0.000
Ti 0.189 0.914 0.671
Ti 0.189 0.415 0.671

Entry 2:
! Ti2Ir5Rh (PBE, relaxed); values from VASP
! Volume (Å³ per atom): 14.5
! E_form (eV/f.u.): -5.6
! N(E_F) (states/eV/cell): 12.9
! Space group: Pbam
! Total magnetization (μB/cell): 0.000
&SYSTEM
  ibrav = 0, nat = 16, ntyp = 3
/
ATOMIC_SPECIES
Ti 47.87 Ti.upf
Ir 192.22 Ir.upf
Rh 102.91 Rh.upf
CELL_PARAMETERS angstrom
3.870 0.000 0.000
0.000 5.479 0.000
0.000 0.000 10.959
ATOMIC_POSITIONS crystal
Ti 0.500 0.250 0.625
Ti 0.500 0.750 0.375
Ti 0.500 0.250 0.125
Ti 0.500 0.750 0.875
Ir 0.000 0.000 0.000
Ir 0.000 0.500 0.500
Ir 0.000 0.498 0.749
Ir 0.000 0.502 0.251
Ir 0.000 0.002 0.249
Ir 0.000 0.998 0.751
Ir 0.500 0.249 0.874
Ir 0.500 0.751 0.126
Ir 0.500 0.251 0.374
Ir 0.500 0.749 0.626
Rh 0.000 0.000 0.500
Rh 0.000 0.500 0.000